# 1
CdIn2Cu2: relaxed, PBE-GGA.

Total magnetization = 0.00 μB per formula unit

Geometry as extended XYZ:
```
5
Lattice="-0.0546 3.2956 -0.9148 -2.6965 0.5213 2.0391 3.9896 3.8304 7.1658" Properties=species:S:1:pos:R:3 pbc="T T T"
Cd 0.0000 0.0000 0.0000
Cu 1.2797 4.5173 3.4065
Cu -0.0412 3.1301 4.8835
In 1.3059 5.2703 6.1178
In -0.0675 2.3771 2.1722
```


# 2
Cd2InCu: relaxed, PBE-GGA.

Total magnetization = 0.00 μB per formula unit

Geometry as extended XYZ:
```
4
Lattice="4.5560 0.0000 0.0000 0.0000 3.3848 0.0237 0.0000 2.2748 5.4545" Properties=species:S:1:pos:R:3 pbc="T T T"
Cd 0.0000 0.4637 0.1283
Cu 2.2780 1.4149 1.3696
In 2.2780 4.2447 4.1087
Cd 0.0000 2.3661 2.6108
```


The calculated formation energy results, record by record, are as follows: 116 119 meV/atom.
The D(E_F) results, record by record, are as follows: 1.67 1.11 states/eV/f.u..